# Re2AgRh | Alexandria via LeMat-Bulk | GGA-PBE | optimized geometry
data_Re2AgRh
_space_group_name_H-M_alt 'P 1'
_space_group_IT_number 1
_cell_length_a 9.496
_cell_length_b 9.496
_cell_length_c 9.496
_cell_angle_alpha 16.66
_cell_angle_beta 16.66
_cell_angle_gamma 16.66
loop_
_space_group_symop_operation_xyz
'x,y,z'
loop_
_atom_site_label
_atom_site_fract_x
_atom_site_fract_y
_atom_site_fract_z
Re1 0.245 0.245 0.245
Re2 0.755 0.755 0.755
Ag1 0.000 0.000 0.000
Rh1 0.500 0.500 0.500
# **E above lowest polymorph**: 0.133 eV per atom
# **D(E_F)**: 2.79 states/eV per cell